Entry from Alexandria: an optimized crystal structure of CrSi3Ge (PBE-GGA).

a b c (Å): 4.504 4.504 4.504
angles (deg): 90.00 90.00 90.00
Each line ends with the local moment (μB).
Fractional positions:
Cr 0.000 0.000 0.000  0.56
Ge 0.500 0.500 0.500  0.23
Si 0.000 0.500 0.000  0.01
Si 0.000 0.000 0.500  0.01
Si 0.500 0.000 0.000  0.01

Computed properties:
calculated total energy = -5.52 eV per atom

***

Entry from Alexandria: an optimized crystal structure of Cr3SiGe (PBE-GGA).

a b c (Å): 4.329 4.329 4.329
angles (deg): 90.00 90.00 90.00
Fractional positions:
Cr 0.000 0.500 0.000
Cr 0.000 0.000 0.500
Cr 0.500 0.000 0.000
Ge 0.000 0.000 0.000
Si 0.500 0.500 0.500

Computed properties:
calculated total energy = -6.39 eV per atom

***

Entry from Alexandria: an optimized crystal structure of Cr2Si2Ge (PBE-GGA).

a b c (Å): 6.399 6.399 3.250
angles (deg): 90.00 90.00 90.00
Each line ends with the local moment (μB).
Fractional positions:
Cr 0.343 0.843 0.000  0.22
Cr 0.843 0.657 0.000  0.21
Cr 0.657 0.157 0.000  0.22
Cr 0.157 0.343 0.000  0.21
Ge 0.000 0.000 0.000  -0.01
Ge 0.500 0.500 0.000  -0.01
Si 0.138 0.638 0.500  -0.01
Si 0.638 0.862 0.500  -0.01
Si 0.862 0.362 0.500  -0.01
Si 0.362 0.138 0.500  -0.01

Computed properties:
calculated total energy = -6.93 eV per atom

***

Entry from Alexandria: an optimized crystal structure of CrSiTcGe (PBE-GGA).

a b c (Å): 4.262 4.262 4.262
angles (deg): 60.00 60.00 60.00
Each line ends with the local moment (μB).
Fractional positions:
Cr 0.500 0.500 0.500  2.57
Ge 0.750 0.750 0.750  -0.04
Si 0.250 0.250 0.250  -0.05
Tc 0.000 0.000 0.000  0.10

Computed properties:
calculated total energy = -7.62 eV per atom

***

Entry from Alexandria: an optimized crystal structure of SmCrGe2 (PBE-GGA).

a b c (Å): 4.219 4.219 5.708
angles (deg): 68.31 68.31 60.00
Each line ends with the local moment (μB).
Fractional positions:
Cr 0.500 0.500 0.500  2.65
Ge 0.778 0.778 0.665  -0.06
Ge 0.222 0.222 0.335  -0.06
Sm 0.000 0.000 0.000  -0.07

Computed properties:
E_form = -1.5 eV/f.u.

***

Entry from Alexandria: an optimized crystal structure of CrSnGe2 (PBE-GGA).

a b c (Å): 4.068 4.068 10.148
angles (deg): 78.44 78.44 90.00
Each line ends with the local moment (μB).
Fractional positions:
Cr 0.500 0.500 0.000  3.25
Cr 0.250 0.750 0.500  3.26
Ge 0.590 0.125 0.250  -0.01
Ge 0.160 0.625 0.250  -0.01
Ge 0.375 0.410 0.750  -0.02
Ge 0.875 0.840 0.750  -0.02
Sn 0.000 0.000 0.000  -0.07
Sn 0.750 0.250 0.500  -0.07

Computed properties:
E_form = 1.4 eV/f.u.

***

no.,mass density (g/cm3),DOS(E_F) (states/eV/f.u.)
1,3.80,7.3
2,5.26,9.8
3,5.81,3.0
4,7.61,0.5
5,7.26,2.4
6,6.52,2.0